1.
This record from Alexandria describes CuNiN2 at its PBEsol-relaxed geometry. The functional is meta-GGA SCAN.

The total energy is -139.4 eV per cell. Its spin magnetization is 0.001 μB/cell. The raw formation energy is 0.88 eV per atom. The energy above the most stable polymorph in this dataset is 0.387 eV/atom.

Geometry as CIF:
```
data_CuNiN2
_chemical_formula_sum 'Cu3 Ni3 N6'
_symmetry_space_group_name_H-M 'R -3 m'
_symmetry_Int_Tables_number 166
_symmetry_space_group_name_Hall '-R 3 2"'
_cell_length_a 2.8406
_cell_length_b 2.8406
_cell_length_c 16.7704
_cell_angle_alpha 90.00
_cell_angle_beta 90.00
_cell_angle_gamma 120.00
loop_
_atom_site_label
_atom_site_type_symbol
_atom_site_fract_x
_atom_site_fract_y
_atom_site_fract_z
Cu1 Cu 0.0000 0.0000 0.0000
Ni1 Ni 0.0000 0.0000 0.5000
N1 N 0.0000 0.0000 0.3955
```

---

2.
This record from Alexandria describes Cu3NiN at its PBEsol-relaxed geometry. The functional is meta-GGA SCAN.

The total energy is -61.4 eV per cell. Its spin magnetization is 2.425 μB/cell. The raw formation energy is 1.92 eV per atom. The energy above the most stable polymorph in this dataset is 1.601 eV/atom.

Geometry as CIF:
```
data_Cu3NiN
_chemical_formula_sum 'Cu3 Ni1 N1'
_symmetry_space_group_name_H-M 'P m -3 m'
_symmetry_Int_Tables_number 221
_symmetry_space_group_name_Hall '-P 4 2 3'
_cell_length_a 4.262
_cell_length_b 4.262
_cell_length_c 4.262
_cell_angle_alpha 90.00
_cell_angle_beta 90.00
_cell_angle_gamma 90.00
loop_
_atom_site_label
_atom_site_type_symbol
_atom_site_fract_x
_atom_site_fract_y
_atom_site_fract_z
Cu1 Cu 0.000 0.000 0.500
Ni1 Ni 0.000 0.000 0.000
N1 N 0.500 0.500 0.500
```

---

3.
This record from Alexandria describes CuNiN3 at its PBEsol-relaxed geometry. The functional is meta-GGA SCAN.

The total energy is -48.0 eV per cell. Its spin magnetization is 0.002 μB/cell. The raw formation energy is 2.24 eV per atom.

Geometry as CIF:
```
data_CuNiN3
_chemical_formula_sum 'Cu1 Ni1 N3'
_symmetry_space_group_name_H-M 'P m -3 m'
_symmetry_Int_Tables_number 221
_symmetry_space_group_name_Hall '-P 4 2 3'
_cell_length_a 3.659
_cell_length_b 3.659
_cell_length_c 3.659
_cell_angle_alpha 90.00
_cell_angle_beta 90.00
_cell_angle_gamma 90.00
loop_
_atom_site_label
_atom_site_type_symbol
_atom_site_fract_x
_atom_site_fract_y
_atom_site_fract_z
Cu1 Cu 0.000 0.000 0.000
Ni1 Ni 0.500 0.500 0.500
N1 N 0.000 0.000 0.500
```

---

4.
This record from Alexandria describes CuNiSN2 at its PBEsol-relaxed geometry. The functional is meta-GGA SCAN.

The total energy is -54.3 eV per cell. Its spin magnetization is 3.974 μB/cell. The raw formation energy is 1.06 eV per atom.

Geometry as CIF:
```
data_CuNiSN2
_chemical_formula_sum 'Cu1 Ni1 S1 N2'
_symmetry_space_group_name_H-M 'P 4/m m m'
_symmetry_Int_Tables_number 123
_symmetry_space_group_name_Hall '-P 4 2'
_cell_length_a 3.492
_cell_length_b 3.492
_cell_length_c 5.076
_cell_angle_alpha 90.00
_cell_angle_beta 90.00
_cell_angle_gamma 90.00
loop_
_atom_site_label
_atom_site_type_symbol
_atom_site_fract_x
_atom_site_fract_y
_atom_site_fract_z
Cu1 Cu 0.000 0.000 0.000
Ni1 Ni 0.500 0.500 0.500
S1 S 0.500 0.500 0.000
N1 N 0.000 0.500 0.500
```

---

5.
This record from Alexandria describes CuNiS2N at its PBEsol-relaxed geometry. The functional is meta-GGA SCAN.

The total energy is -56.0 eV per cell. Its spin magnetization is 0.004 μB/cell. The raw formation energy is 0.79 eV per atom.

Geometry as CIF:
```
data_CuNiS2N
_chemical_formula_sum 'Cu1 Ni1 S2 N1'
_symmetry_space_group_name_H-M 'P 4/m m m'
_symmetry_Int_Tables_number 123
_symmetry_space_group_name_Hall '-P 4 2'
_cell_length_a 4.604
_cell_length_b 4.604
_cell_length_c 3.320
_cell_angle_alpha 90.00
_cell_angle_beta 90.00
_cell_angle_gamma 90.00
loop_
_atom_site_label
_atom_site_type_symbol
_atom_site_fract_x
_atom_site_fract_y
_atom_site_fract_z
Cu1 Cu 0.000 0.000 0.000
Ni1 Ni 0.500 0.500 0.500
S1 S 0.000 0.500 0.500
N1 N 0.500 0.500 0.000
```

---

6.
This record from Alexandria describes CuN2O2 at its PBEsol-relaxed geometry. The functional is meta-GGA SCAN.

The total energy is -83.8 eV per cell. Its spin magnetization is 6.000 μB/cell. The raw formation energy is 0.87 eV per atom. The energy above the most stable polymorph in this dataset is 0.000 eV/atom.

Geometry as CIF:
```
data_CuN2O2
_chemical_formula_sum 'Cu2 N4 O4'
_symmetry_space_group_name_H-M 'I 4/m m m'
_symmetry_Int_Tables_number 139
_symmetry_space_group_name_Hall '-I 4 2'
_cell_length_a 4.636
_cell_length_b 4.636
_cell_length_c 4.797
_cell_angle_alpha 90.00
_cell_angle_beta 90.00
_cell_angle_gamma 90.00
loop_
_atom_site_label
_atom_site_type_symbol
_atom_site_fract_x
_atom_site_fract_y
_atom_site_fract_z
Cu1 Cu 0.000 0.000 0.000
N1 N 0.000 0.000 0.383
O1 O 0.000 0.500 0.250
```

---

7.
This record from Alexandria describes RbCuNO2 at its PBEsol-relaxed geometry. The functional is meta-GGA SCAN.

The total energy is -56.7 eV per cell. Its spin magnetization is 3.074 μB/cell. The raw formation energy is 0.19 eV per atom.

Geometry as CIF:
```
data_RbCuNO2
_chemical_formula_sum 'Rb1 Cu1 N1 O2'
_symmetry_space_group_name_H-M 'P 4/m m m'
_symmetry_Int_Tables_number 123
_symmetry_space_group_name_Hall '-P 4 2'
_cell_length_a 3.987
_cell_length_b 3.987
_cell_length_c 3.953
_cell_angle_alpha 90.00
_cell_angle_beta 90.00
_cell_angle_gamma 90.00
loop_
_atom_site_label
_atom_site_type_symbol
_atom_site_fract_x
_atom_site_fract_y
_atom_site_fract_z
Rb1 Rb 0.000 0.000 0.000
Cu1 Cu 0.500 0.500 0.500
N1 N 0.500 0.500 0.000
O1 O 0.000 0.500 0.500
```

---

8.
This record from Alexandria describes CuRhN2O at its PBEsol-relaxed geometry. The functional is meta-GGA SCAN.

The total energy is -66.3 eV per cell. Its spin magnetization is 0.001 μB/cell. The raw formation energy is 1.50 eV per atom.

Geometry as CIF:
```
data_CuRhN2O
_chemical_formula_sum 'Cu1 Rh1 N2 O1'
_symmetry_space_group_name_H-M 'P 4/m m m'
_symmetry_Int_Tables_number 123
_symmetry_space_group_name_Hall '-P 4 2'
_cell_length_a 3.660
_cell_length_b 3.660
_cell_length_c 3.674
_cell_angle_alpha 90.00
_cell_angle_beta 90.00
_cell_angle_gamma 90.00
loop_
_atom_site_label
_atom_site_type_symbol
_atom_site_fract_x
_atom_site_fract_y
_atom_site_fract_z
Cu1 Cu 0.000 0.000 0.000
Rh1 Rh 0.500 0.500 0.500
N1 N 0.000 0.500 0.000
O1 O 0.000 0.000 0.500
```